Entry 1:
{"formula": "LiLa2C", "functional": "PBE", "state": "relaxed", "lattice": [[-3.745, 3.745, 4.143], [3.745, -3.745, 4.143], [3.745, 3.745, -4.143]], "species": ["Li", "Li", "La", "La", "La", "La", "C", "C"], "fractional_positions": [[0.000, 0.000, 0.000], [0.750, 0.250, 0.500], [0.218, 0.125, 0.593], [0.375, 0.782, 0.907], [0.532, 0.625, 0.407], [0.875, 0.468, 0.093], [0.250, 0.750, 0.500], [0.500, 0.500, 0.000]], "dos_ef_per_ev_cell": 9.19, "dft_energy_ha_per_atom": -0.186}

Entry 2:
{"formula": "Li2La4C", "functional": "PBE", "state": "relaxed", "lattice": [[-2.648, 2.648, 7.783], [2.648, -2.648, 7.783], [2.648, 2.648, -7.783]], "species": ["Li", "Li", "La", "La", "La", "La", "C"], "fractional_positions": [[0.135, 0.135, 0.000], [0.865, 0.865, 0.000], [0.000, 0.500, 0.500], [0.339, 0.339, 0.000], [0.500, 0.000, 0.500], [0.661, 0.661, 0.000], [0.500, 0.500, 0.000]], "dos_ef_per_ev_cell": 8.61, "dft_energy_ha_per_atom": -0.167}

Entry 3:
{"formula": "LiLaC2", "functional": "PBE", "state": "relaxed", "lattice": [[-1.995, 1.995, 6.814], [1.995, -1.995, 6.814], [1.995, 1.995, -6.814]], "species": ["Li", "Li", "La", "La", "C", "C", "C", "C"], "fractional_positions": [[0.375, 0.625, 0.750], [0.625, 0.375, 0.250], [0.125, 0.875, 0.250], [0.875, 0.125, 0.750], [0.000, 0.500, 0.500], [0.500, 0.000, 0.000], [0.500, 0.500, 0.000], [0.500, 0.500, 0.500]], "polymorph_energy_mev_per_atom": 0, "dos_ef_per_ev_cell": 3.61, "dft_energy_ha_per_atom": -0.204}

Entry 4:
{"formula": "LiLa2MgC", "functional": "PBE", "state": "relaxed", "lattice": [[5.325, 0.000, 0.000], [0.000, 5.325, 0.000], [0.000, 0.000, 4.444]], "species": ["Li", "La", "La", "Mg", "C"], "fractional_positions": [[0.000, 0.000, 0.000], [0.000, 0.500, 0.500], [0.500, 0.000, 0.500], [0.500, 0.500, 0.000], [0.500, 0.500, 0.500]], "polymorph_energy_mev_per_atom": 0, "dos_ef_per_ev_cell": 5.40, "dft_energy_ha_per_atom": -0.163}

Entry 5:
{"formula": "LiLa2MgC", "functional": "PBE", "state": "relaxed", "lattice": [[5.275, 0.000, 0.000], [0.000, 5.275, 0.000], [0.000, 0.000, 4.459]], "species": ["Li", "La", "La", "Mg", "C"], "fractional_positions": [[0.000, 0.000, 0.000], [0.000, 0.500, 0.500], [0.500, 0.000, 0.500], [0.500, 0.500, 0.000], [0.000, 0.000, 0.500]], "polymorph_energy_mev_per_atom": 23, "dos_ef_per_ev_cell": 4.94, "dft_energy_ha_per_atom": -0.163}

Entry 6:
{"formula": "LiLaMnC", "functional": "PBE", "state": "relaxed", "lattice": [[3.455, 0.000, 0.000], [0.000, 3.455, 0.000], [0.000, 0.000, 11.466]], "species": ["Li", "Li", "La", "La", "Mn", "Mn", "C", "C"], "fractional_positions": [[0.250, 0.750, 0.000], [0.750, 0.250, 0.000], [0.250, 0.250, 0.276], [0.750, 0.750, 0.724], [0.250, 0.750, 0.500], [0.750, 0.250, 0.500], [0.250, 0.250, 0.594], [0.750, 0.750, 0.406]], "dos_ef_per_ev_cell": 4.93, "dft_energy_ha_per_atom": -0.234}

Entry 7:
{"formula": "LiLaCN2", "functional": "PBE", "state": "relaxed", "lattice": [[5.819, 0.000, 0.000], [0.000, 3.721, 0.000], [-1.408, 0.000, 5.887]], "species": ["Li", "Li", "La", "La", "C", "C", "N", "N", "N", "N"], "fractional_positions": [[0.000, 0.022, 0.250], [0.000, 0.978, 0.750], [0.500, 0.229, 0.750], [0.500, 0.771, 0.250], [0.000, 0.500, 0.000], [0.000, 0.500, 0.500], [0.176, 0.290, 0.032], [0.176, 0.710, 0.532], [0.824, 0.290, 0.468], [0.824, 0.710, 0.968]], "raw_formation_energy_kj_per_mol_atoms": -44.1, "dos_ef_per_ev_cell": 3.62, "dft_energy_ha_per_atom": -0.257}

Entry 8:
{"formula": "LiLa2NiC", "functional": "PBE", "state": "relaxed", "lattice": [[5.387, 0.000, 0.000], [0.000, 5.387, 0.000], [0.000, 0.000, 3.691]], "species": ["Li", "La", "La", "Ni", "C"], "fractional_positions": [[0.000, 0.000, 0.000], [0.000, 0.500, 0.500], [0.500, 0.000, 0.500], [0.500, 0.500, 0.000], [0.500, 0.500, 0.500]], "dos_ef_per_ev_cell": 3.75, "dft_energy_ha_per_atom": -0.201}